No. 1
BaSr2Pt | PBE | relaxed

Structure (POSCAR):
```
BaSr2Pt
1.0
5.778 0.000 0.000
2.889 5.004 0.000
2.889 1.668 4.718
Pt Sr Ba
1 2 1
direct
0.750 0.750 0.750
0.250 0.250 0.250
0.000 0.000 0.000
0.500 0.500 0.500
```

Output
As for the energy above the most stable polymorph in this dataset: 498 meV/atom. The size of the total moment comes out at 0.0 Bohr magnetons per cell. The raw total energy is -0.1051 Ha/atom. The space-group type is No. 216. The formation energy comes out at -3 kJ per mole of atoms.

***

No. 2
BaSrPt | PBE | relaxed

Structure (POSCAR):
```
BaSrPt
1.0
-2.134 3.985 -0.293
-0.291 -2.451 3.798
5.856 3.327 2.596
Sr Ba Pt
1 1 1
direct
0.333 0.667 0.557
0.000 0.000 0.102
0.667 0.333 0.341
```

Output
As for the energy above the most stable polymorph in this dataset: 3 meV/atom. The size of the total moment comes out at 0.0 Bohr magnetons per cell. The raw total energy is -0.1414 Ha/atom. The space-group type is No. 156. The formation energy comes out at -61 kJ per mole of atoms.

***

No. 3
BaSrPt2 | PBE | relaxed

Structure (POSCAR):
```
BaSrPt2
1.0
-1.080 4.486 2.379
-3.512 3.237 -2.034
-4.586 0.658 2.341
Pt Ba Sr
2 1 1
direct
0.250 0.250 0.250
0.000 0.000 0.000
0.500 0.500 0.500
0.750 0.750 0.750
```

Output
As for the energy above the most stable polymorph in this dataset: 405 meV/atom. The size of the total moment comes out at 0.0 Bohr magnetons per cell. The raw total energy is -0.1568 Ha/atom. The space-group type is No. 216. The formation energy comes out at -33 kJ per mole of atoms.

***

No. 4
BaSr3Pt8 | PBE | relaxed

Structure (POSCAR):
```
BaSr3Pt8
1.0
5.373 0.000 1.622
2.442 4.786 1.622
0.003 0.002 9.700
Pt Sr Ba
8 3 1
direct
0.937 0.937 0.692
0.438 0.940 0.183
0.438 0.438 0.183
0.688 0.688 0.937
0.434 0.937 0.692
0.937 0.434 0.692
0.940 0.438 0.183
0.187 0.187 0.439
0.499 0.499 0.502
0.375 0.375 0.875
0.000 0.000 0.999
0.875 0.875 0.375
```

Output
The size of the total moment comes out at 0.0 Bohr magnetons per cell. The raw total energy is -0.2000 Ha/atom. The space-group type is No. 160. The formation energy comes out at -81 kJ per mole of atoms.

***

No. 5
BaSr2Pt | PBE | relaxed

Structure (POSCAR):
```
BaSr2Pt
1.0
5.445 -0.006 -0.018
-2.650 6.600 0.062
0.144 1.463 4.196
Sr Ba Pt
2 1 1
direct
0.000 0.000 0.000
0.500 0.000 0.500
0.000 0.500 0.500
0.500 0.500 0.000
```

Output
As for the energy above the most stable polymorph in this dataset: 590 meV/atom. The size of the total moment comes out at 0.0 Bohr magnetons per cell. The raw total energy is -0.1017 Ha/atom. The space-group type is No. 12. The formation energy comes out at 6 kJ per mole of atoms.

***

No. 6
BaSr6Pt2 | PBE | relaxed

Structure (POSCAR):
```
BaSr6Pt2
1.0
7.312 0.000 3.972
2.577 6.843 3.972
-0.051 -0.036 8.810
Sr Pt Ba
6 2 1
direct
0.232 0.698 0.874
0.420 0.366 0.338
0.196 0.232 0.874
0.698 0.196 0.874
0.366 0.877 0.338
0.877 0.420 0.338
0.467 0.467 0.600
0.292 0.292 0.123
0.787 0.787 0.638
```

Output
The size of the total moment comes out at 0.0 Bohr magnetons per cell. The raw total energy is -0.1121 Ha/atom. The space-group type is No. 146. The formation energy comes out at -36 kJ per mole of atoms.

***

No. 7
BaSrPt2 | PBE | relaxed

Structure (POSCAR):
```
BaSrPt2
1.0
3.807 0.000 0.000
0.000 3.807 0.000
0.000 0.000 7.471
Ba Pt Sr
1 2 1
direct
0.500 0.500 0.500
0.000 0.000 0.227
0.000 0.000 0.773
0.500 0.500 0.000
```

Output
As for the energy above the most stable polymorph in this dataset: 72 meV/atom. The size of the total moment comes out at 0.0 Bohr magnetons per cell. The raw total energy is -0.1690 Ha/atom. The space-group type is No. 123. The formation energy comes out at -65 kJ per mole of atoms.

***

No. 8
BaSrPt2 | PBE | relaxed

Structure (POSCAR):
```
BaSrPt2
1.0
-0.444 0.985 -5.241
1.068 -3.554 -0.758
-5.115 -1.567 0.139
Ba Pt Sr
1 2 1
direct
0.500 0.624 0.875
0.000 0.125 0.875
0.500 0.125 0.375
0.000 0.626 0.375
```

Output
As for the energy above the most stable polymorph in this dataset: 82 meV/atom. The size of the total moment comes out at 0.0 Bohr magnetons per cell. The raw total energy is -0.1686 Ha/atom. The space-group type is No. 99. The formation energy comes out at -64 kJ per mole of atoms.

***

No. 9
BaSrPt3 | PBE | relaxed

Structure (POSCAR):
```
BaSrPt3
1.0
-1.707 -3.805 -3.558
4.894 -2.455 0.277
-1.786 -3.090 4.161
Ba Sr Pt
1 1 3
direct
0.000 0.000 0.000
0.500 0.500 0.500
0.000 0.000 0.500
0.000 0.500 0.000
0.500 0.000 0.000
```

Output
As for the energy above the most stable polymorph in this dataset: 268 meV/atom. The size of the total moment comes out at 0.0 Bohr magnetons per cell. The raw total energy is -0.1350 Ha/atom. The space-group type is No. 221. The formation energy comes out at 65 kJ per mole of atoms.

***

No. 10
Ba3SrPt | PBE | relaxed

Structure (POSCAR):
```
Ba3SrPt
1.0
-2.369 3.708 -4.602
-5.540 -3.118 0.340
-2.056 4.131 4.387
Ba Sr Pt
3 1 1
direct
0.000 0.000 0.500
0.500 0.000 0.000
0.000 0.500 0.000
0.000 0.000 0.000
0.500 0.500 0.500
```

Output
As for the energy above the most stable polymorph in this dataset: 1460 meV/atom. The size of the total moment comes out at 0.5 Bohr magnetons per cell. The raw total energy is -0.0611 Ha/atom. The space-group type is No. 221. The formation energy comes out at 100 kJ per mole of atoms.

***

No. 11
Ba2SrPt | PBE | relaxed

Structure (POSCAR):
```
Ba2SrPt
1.0
5.105 0.000 0.000
0.000 5.716 0.000
0.000 0.000 5.047
Pt Ba Sr
1 2 1
direct
0.500 0.000 0.500
0.500 0.500 0.000
0.000 0.000 0.000
0.000 0.500 0.500
```

Output
As for the energy above the most stable polymorph in this dataset: 471 meV/atom. The size of the total moment comes out at 0.0 Bohr magnetons per cell. The raw total energy is -0.1086 Ha/atom. The space-group type is No. 47. The formation energy comes out at -6 kJ per mole of atoms.

***

No. 12
Ba2SrPt | PBE | relaxed

Structure (POSCAR):
```
Ba2SrPt
1.0
11.250 0.000 0.000
0.000 11.250 0.000
5.625 5.625 3.075
Sr Pt Ba
2 2 4
direct
0.250 0.750 0.500
0.500 0.500 0.000
0.000 0.000 0.000
0.750 0.250 0.500
0.375 0.240 0.750
0.875 0.010 0.750
0.990 0.625 0.250
0.760 0.125 0.250
```

Output
As for the energy above the most stable polymorph in this dataset: 179 meV/atom. The size of the total moment comes out at 0.0 Bohr magnetons per cell. The raw total energy is -0.1193 Ha/atom. The space-group type is No. 122. The formation energy comes out at -34 kJ per mole of atoms.

***

No. 13
Ba4SrPt | PBE | relaxed

Structure (POSCAR):
```
Ba4SrPt
1.0
-0.348 -4.145 -5.039
6.263 -5.133 3.789
-7.847 -3.763 7.873
Ba Sr Pt
8 2 2
direct
0.102 0.781 0.205
0.693 0.028 0.386
0.693 0.534 0.387
0.307 0.528 0.614
0.500 0.530 0.000
0.898 0.281 0.795
0.307 0.034 0.613
0.500 0.030 0.000
0.109 0.281 0.218
0.891 0.781 0.782
0.599 0.780 0.197
0.401 0.280 0.803
```

Output
As for the energy above the most stable polymorph in this dataset: 0 meV/atom. The size of the total moment comes out at 0.0 Bohr magnetons per cell. The raw total energy is -0.1056 Ha/atom. The space-group type is No. 36. The formation energy comes out at -29 kJ per mole of atoms.